(1)
The following is a DFT calculation (PBE) of crystalline LaMg2Re at its relaxed geometry.

Results
The theoretical density comes out at 6.9 g/cm³. The total magnetization is 0.00 Bohr magnetons per cell. The calculation puts the raw total energy at -4.715 eV per atom. The calculated formation energy comes out at 0.4262 eV/atom.

Cell and atoms, written as POSCAR:
```
LaMg2Re
1.0
4.7600 -1.4656 0.0000
4.7600 1.4656 0.0000
-0.5292 0.0000 6.4133
La Mg Re
1 2 1
direct
0.0000 0.0000 0.0000
0.5046 0.5046 0.5475
0.7591 0.7591 0.3507
0.2437 0.2437 0.7328
```

---

(2)
The following is a DFT calculation (PBE) of crystalline FeRu2Se at its relaxed geometry.

Results
The theoretical density comes out at 9.8 g/cm³. The total magnetization is 1.83 Bohr magnetons per cell. Its uncorrected formation energy is 0.339 eV per atom. The calculation puts the raw total energy at -7.286 eV per atom.

Cell and atoms, written as POSCAR:
```
FeRu2Se
1.0
2.8742 0.0000 0.0000
0.0000 3.5640 0.0000
0.0000 0.0000 5.5765
Fe Ru Se
1 2 1
direct
0.0000 0.0000 0.0000
0.0000 0.0000 0.4673
0.5000 0.5000 0.2328
0.5000 0.5000 0.7723
```

---

(3)
The following is a DFT calculation (PBE) of crystalline Ce3NdCo2 at its relaxed geometry.

Results
The theoretical density comes out at 8.4 g/cm³. The total magnetization is 0.00 Bohr magnetons per cell. The calculation puts the raw total energy at -6.239 eV per atom. The calculated formation energy comes out at -0.1090 eV/atom.

Cell and atoms, written as POSCAR:
```
Ce3NdCo2
1.0
8.0265 -1.9680 0.0000
8.0265 1.9680 0.0000
-4.2803 0.0000 8.5749
Ce Nd Co
6 2 4
direct
0.0156 0.0156 0.3676
0.3369 0.3369 0.1197
0.3422 0.3422 0.4956
0.6578 0.6578 0.5044
0.6631 0.6631 0.8803
0.9844 0.9844 0.6324
0.1254 0.1254 0.1389
0.8746 0.8746 0.8611
0.1837 0.1837 0.7039
0.4830 0.4830 0.1317
0.5170 0.5170 0.8683
0.8163 0.8163 0.2961
```

---

(4)
The following is a DFT calculation (PBE) of crystalline SmH3Pd2 at its relaxed geometry.

Results
The theoretical density comes out at 8.3 g/cm³. The total magnetization is 0.00 Bohr magnetons per cell. The calculation puts the raw total energy at -4.659 eV per atom.

Cell and atoms, written as POSCAR:
```
SmH3Pd2
1.0
3.7870 -3.7842 0.0000
3.7870 3.7842 0.0000
-1.5702 0.0000 5.0969
Sm H Pd
2 6 4
direct
0.1947 0.8053 0.5000
0.8053 0.1947 0.0000
0.0709 0.2799 0.4610
0.2799 0.0709 0.9610
0.3139 0.5538 0.1134
0.5538 0.3139 0.6134
0.7469 0.8841 0.5232
0.8841 0.7469 0.0232
0.2535 0.3634 0.7808
0.3634 0.2535 0.2808
0.6189 0.7432 0.1809
0.7432 0.6189 0.6809
```

---

(5)
The following is a DFT calculation (PBE) of crystalline CdAsH at its relaxed geometry.

Results
The theoretical density comes out at 5.3 g/cm³. The total magnetization is 0.00 Bohr magnetons per cell. The calculation puts the raw total energy at -2.926 eV per atom.

Cell and atoms, written as POSCAR:
```
CdAsH
1.0
9.8485 0.0000 0.0000
0.0000 9.8485 0.0000
0.0000 0.0000 4.9034
Cd As H
8 8 8
direct
0.0941 0.2689 0.0000
0.2311 0.4059 0.5000
0.2689 0.9059 0.5000
0.4059 0.7689 0.0000
0.5941 0.2311 0.0000
0.7311 0.0941 0.5000
0.7689 0.5941 0.5000
0.9059 0.7311 0.0000
0.0255 0.7567 0.5000
0.2433 0.0255 0.0000
0.2567 0.5255 0.0000
0.4745 0.2567 0.5000
0.5255 0.7433 0.5000
0.7433 0.4745 0.0000
0.7567 0.9745 0.0000
0.9745 0.2433 0.5000
0.0477 0.1046 0.5000
0.1046 0.9523 0.0000
0.3954 0.4523 0.0000
0.4523 0.6046 0.5000
0.5477 0.3954 0.5000
0.6046 0.5477 0.0000
0.8954 0.0477 0.0000
0.9523 0.8954 0.5000
```

---

(6)
The following is a DFT calculation (PBE) of crystalline Pt3C5 at its relaxed geometry.

Results
The theoretical density comes out at 10.4 g/cm³. The total magnetization is 0.00 Bohr magnetons per cell. The calculation puts the raw total energy at -6.715 eV per atom. The calculated formation energy comes out at 1.3148 eV/atom.

Cell and atoms, written as POSCAR:
```
Pt3C5
1.0
2.9161 -4.3690 0.0000
2.9161 4.3690 0.0000
-2.9150 0.0000 8.1085
Pt C
6 10
direct
0.0000 0.0000 0.0000
0.1729 0.1729 0.3497
0.3127 0.8140 0.6294
0.4306 0.7813 0.2128
0.7813 0.4306 0.2128
0.8140 0.3127 0.6294
0.0216 0.4346 0.4586
0.2085 0.6129 0.8283
0.2266 0.7458 0.9746
0.3602 0.3602 0.1871
0.4346 0.0216 0.4586
0.6129 0.2085 0.8283
0.7458 0.2266 0.9746
0.7466 0.8941 0.6457
0.8241 0.8241 0.1851
0.8941 0.7466 0.6457
```

---

(7)
The following is a DFT calculation (PBE) of crystalline CaThSe at its relaxed geometry.

Results
The theoretical density comes out at 6.4 g/cm³. The total magnetization is 0.00 Bohr magnetons per cell. Its uncorrected formation energy is -0.974 eV per atom. The calculation puts the raw total energy at -5.276 eV per atom.

Cell and atoms, written as POSCAR:
```
CaThSe
1.0
3.8352 0.0000 0.0000
-1.9176 3.3214 0.0000
0.0000 0.0000 14.2793
Ca Th Se
2 2 2
direct
0.0000 0.0000 0.2173
0.0000 0.0000 0.7827
0.0000 0.0000 0.5000
0.3333 0.6667 0.0000
0.3333 0.6667 0.3557
0.3333 0.6667 0.6443
```

---

(8)
The following is a DFT calculation (PBE) of crystalline LiYMo2 at its relaxed geometry.

Results
The theoretical density comes out at 6.5 g/cm³. The total magnetization is 0.00 Bohr magnetons per cell. The calculation puts the raw total energy at -7.032 eV per atom. The calculated formation energy comes out at 0.4780 eV/atom.

Cell and atoms, written as POSCAR:
```
LiYMo2
1.0
2.9408 0.0000 0.0000
0.0000 5.0603 0.0000
-0.6658 0.0000 4.9712
Li Y Mo
1 1 2
direct
0.0000 0.0000 0.0000
0.5000 0.0000 0.5000
0.1292 0.5000 0.7514
0.8708 0.5000 0.2486
```

---

(9)
The following is a DFT calculation (PBE) of crystalline MgAg5Cl12 at its relaxed geometry.

Results
The theoretical density comes out at 3.4 g/cm³. The total magnetization is 4.11 Bohr magnetons per cell. Its uncorrected formation energy is -0.532 eV per atom. The calculation puts the raw total energy at -2.644 eV per atom.

Cell and atoms, written as POSCAR:
```
MgAg5Cl12
1.0
3.2071 -5.9774 0.0000
3.2071 5.9774 0.0000
-0.6050 0.0000 12.5686
Mg Ag Cl
1 5 12
direct
0.0000 0.0000 0.0000
0.1667 0.8333 0.5000
0.3422 0.6578 0.0000
0.5000 0.5000 0.5000
0.6578 0.3422 0.0000
0.8333 0.1667 0.5000
0.0358 0.3459 0.1072
0.1496 0.4836 0.6148
0.1832 0.1832 0.3853
0.2936 0.2936 0.8809
0.3459 0.0358 0.1072
0.4836 0.1496 0.6148
0.5164 0.8504 0.3852
0.6541 0.9642 0.8928
0.7064 0.7064 0.1191
0.8168 0.8168 0.6147
0.8504 0.5164 0.3852
0.9642 0.6541 0.8928
```

---

(10)
The following is a DFT calculation (PBE) of crystalline Zr2TcMoH at its relaxed geometry.

Results
The theoretical density comes out at 8.2 g/cm³. The total magnetization is 0.00 Bohr magnetons per cell. The calculation puts the raw total energy at -8.503 eV per atom.

Cell and atoms, written as POSCAR:
```
Zr2TcMoH
1.0
4.7041 0.0000 0.0000
0.0000 4.7041 0.0000
0.0000 0.0000 3.4416
Zr Tc Mo H
2 1 1 1
direct
0.0000 0.5000 0.0000
0.5000 0.0000 0.0000
0.0000 0.0000 0.5000
0.5000 0.5000 0.5000
0.0000 0.0000 0.0000
```

---

(11)
The following is a DFT calculation (PBE) of crystalline Na2LaSnAs at its relaxed geometry.

Results
The theoretical density comes out at 3.9 g/cm³. The total magnetization is 0.00 Bohr magnetons per cell. The calculation puts the raw total energy at -3.231 eV per atom. The calculated formation energy comes out at 0.0129 eV/atom.

Cell and atoms, written as POSCAR:
```
Na2LaSnAs
1.0
5.2511 0.0000 0.0000
0.0000 5.2511 0.0000
0.0000 0.0000 5.8422
Na La Sn As
2 1 1 1
direct
0.0000 0.5000 0.0000
0.5000 0.0000 0.0000
0.0000 0.0000 0.5000
0.5000 0.5000 0.5000
0.5000 0.5000 0.0000
```

---

(12)
The following is a DFT calculation (PBE) of crystalline Ta4Ge at its relaxed geometry.

Results
The theoretical density comes out at 12.7 g/cm³. The total magnetization is 0.00 Bohr magnetons per cell. The calculation puts the raw total energy at -9.363 eV per atom. The calculated formation energy comes out at 1.0427 eV/atom.

Cell and atoms, written as POSCAR:
```
Ta4Ge
1.0
4.7019 0.0000 0.0000
0.0000 4.7019 0.0000
0.0000 0.0000 4.7019
Ta Ge
4 1
direct
0.0000 0.0000 0.0000
0.0000 0.5000 0.5000
0.5000 0.0000 0.5000
0.5000 0.5000 0.0000
0.5000 0.5000 0.5000
```

---

(13)
The following is a DFT calculation (PBE) of crystalline BaV2HgN at its relaxed geometry.

Results
The theoretical density comes out at 5.8 g/cm³. The total magnetization is 7.35 Bohr magnetons per cell. Its uncorrected formation energy is 1.566 eV per atom. The calculation puts the raw total energy at -4.192 eV per atom.

Cell and atoms, written as POSCAR:
```
BaV2HgN
1.0
5.2584 0.0000 0.0000
0.0000 5.2584 0.0000
0.0000 0.0000 4.6955
Ba V Hg N
1 2 1 1
direct
0.0000 0.0000 0.0000
0.0000 0.5000 0.5000
0.5000 0.0000 0.5000
0.5000 0.5000 0.5000
0.5000 0.5000 0.0000
```

---

(14)
The following is a DFT calculation (PBE) of crystalline Be2TlBr at its relaxed geometry.

Results
The theoretical density comes out at 6.6 g/cm³. The total magnetization is 0.00 Bohr magnetons per cell. Its uncorrected formation energy is 0.825 eV per atom. The calculation puts the raw total energy at -2.048 eV per atom.

Cell and atoms, written as POSCAR:
```
Be2TlBr
1.0
3.2713 0.0000 0.0000
0.0000 3.2713 0.0000
0.0000 0.0000 7.0609
Be Tl Br
2 1 1
direct
0.0000 0.0000 0.2448
0.0000 0.0000 0.7552
0.5000 0.5000 0.5000
0.5000 0.5000 0.0000
```

---

(15)
The following is a DFT calculation (PBE) of crystalline LaNd4Er at its relaxed geometry.

Results
The theoretical density comes out at 6.8 g/cm³. The total magnetization is 0.00 Bohr magnetons per cell. The calculation puts the raw total energy at -4.515 eV per atom. The calculated formation energy comes out at 0.2451 eV/atom.

Cell and atoms, written as POSCAR:
```
LaNd4Er
1.0
0.0000 4.7596 4.7596
4.7596 0.0000 4.7596
4.7596 4.7596 0.0000
La Nd Er
1 4 1
direct
0.0000 0.0000 0.0000
0.3760 0.3760 0.3760
0.3760 0.3760 0.8720
0.3760 0.8720 0.3760
0.8720 0.3760 0.3760
0.7500 0.7500 0.7500
```

---

(16)
The following is a DFT calculation (PBE) of crystalline Sn2SeI2 at its relaxed geometry.

Results
The theoretical density comes out at 4.5 g/cm³. The total magnetization is 0.00 Bohr magnetons per cell. Its uncorrected formation energy is -0.408 eV per atom. The calculation puts the raw total energy at -3.327 eV per atom.

Cell and atoms, written as POSCAR:
```
Sn2SeI2
1.0
7.2653 -3.2400 0.0000
7.2653 3.2400 0.0000
-4.7669 0.0000 8.9415
Sn Se I
4 2 4
direct
0.0314 0.0314 0.3185
0.3152 0.3152 0.8940
0.6848 0.6848 0.1060
0.9686 0.9686 0.6815
0.1354 0.1354 0.6334
0.8646 0.8646 0.3666
0.1671 0.1671 0.0606
0.4511 0.4511 0.7259
0.5489 0.5489 0.2741
0.8329 0.8329 0.9394
```

---

(17)
The following is a DFT calculation (PBE) of crystalline TbZr2Fe9 at its relaxed geometry.

Results
The theoretical density comes out at 8.1 g/cm³. The total magnetization is 16.38 Bohr magnetons per cell. The calculation puts the raw total energy at -8.343 eV per atom. The calculated formation energy comes out at -0.1854 eV/atom.

Cell and atoms, written as POSCAR:
```
TbZr2Fe9
1.0
2.5003 1.4435 7.9799
-2.5003 1.4435 7.9799
0.0000 -2.8871 7.9799
Tb Zr Fe
1 2 9
direct
0.0000 0.0000 0.0000
0.1425 0.1425 0.1425
0.8575 0.8575 0.8575
0.0826 0.5852 0.5852
0.3327 0.3327 0.3327
0.4148 0.4148 0.9174
0.4148 0.9174 0.4148
0.5000 0.5000 0.5000
0.5852 0.0826 0.5852
0.5852 0.5852 0.0826
0.6673 0.6673 0.6673
0.9174 0.4148 0.4148
```

---

(18)
The following is a DFT calculation (PBE) of crystalline KBaNaCd at its relaxed geometry.

Results
The theoretical density comes out at 3.0 g/cm³. The total magnetization is 0.00 Bohr magnetons per cell. The calculation puts the raw total energy at -1.344 eV per atom. The calculated formation energy comes out at -0.0304 eV/atom.

Cell and atoms, written as POSCAR:
```
KBaNaCd
1.0
0.0000 4.4192 4.4192
4.4192 0.0000 4.4192
4.4192 4.4192 0.0000
K Ba Na Cd
1 1 1 1
direct
0.0000 0.0000 0.0000
0.5000 0.5000 0.5000
0.7500 0.7500 0.7500
0.2500 0.2500 0.2500
```

---

(19)
The following is a DFT calculation (PBE) of crystalline LiMgCd2 at its relaxed geometry.

Results
The theoretical density comes out at 5.2 g/cm³. The total magnetization is 0.00 Bohr magnetons per cell. The calculation puts the raw total energy at -1.492 eV per atom. The calculated formation energy comes out at -0.1569 eV/atom.

Cell and atoms, written as POSCAR:
```
LiMgCd2
1.0
3.3597 0.0000 0.0000
0.0000 3.7387 0.0000
0.0000 0.0000 6.4564
Li Mg Cd
1 1 2
direct
0.0000 0.0000 0.0000
0.5000 0.5000 0.2555
0.0000 0.0000 0.5090
0.5000 0.5000 0.7877
```

---

(20)
The following is a DFT calculation (PBE) of crystalline SnBrN2O at its relaxed geometry.

Results
The theoretical density comes out at 5.1 g/cm³. The total magnetization is 2.98 Bohr magnetons per cell. Its uncorrected formation energy is 1.211 eV per atom. The calculation puts the raw total energy at -4.246 eV per atom.

Cell and atoms, written as POSCAR:
```
SnBrN2O
1.0
4.4436 0.0000 0.0000
0.0000 4.4436 0.0000
0.0000 0.0000 3.9848
Sn Br N O
1 1 2 1
direct
0.0000 0.0000 0.0000
0.5000 0.5000 0.5000
0.0000 0.5000 0.0000
0.5000 0.0000 0.0000
0.0000 0.0000 0.5000
```